Arrangement one

Below is a crystal of BaPt2W relaxed with PBEsol, with properties calculated at the SCAN level.

Unit cell a=2.9388 b=4.2443 c=7.4259 alpha=90.00 beta=90.00 gamma=90.00
Closest atoms and distances in Å follow each position.
Element x y z (fractional)
1 Pt 0.0000 0.0000 0.9725  2 W 2.55
2 Pt 0.0000 0.5000 0.6107  4 W 2.65, 2 Pt 2.94
3 W 0.5000 0.0000 0.6922  6 Pt 2.55-2.65
4 Ba 0.5000 0.5000 0.2247  2 Ba 2.94, 6 Pt 3.19-3.22

Properties
space group = Pmm2, No. 25
calculated volume = 23.16 Å³/atom
N(E_F) = 3.862 states/eV/cell

---

Arrangement two

Below is a crystal of BaPt2W relaxed with PBEsol, with properties calculated at the SCAN level.

Unit cell a=2.9118 b=3.8699 c=7.4131 alpha=90.00 beta=90.00 gamma=90.00
Closest atoms and distances in Å follow each position.
Element x y z (fractional)
1 Pt 0.5000 0.5000 0.2651  4 W 2.65, 6 Pt 2.86-2.91
2 Pt 0.0000 0.0000 0.0610  1 W 2.58, 4 Pt 2.86
3 Ba 0.5000 0.5000 0.7650  2 Ba 2.91
4 W 0.0000 0.0000 0.4089  5 Pt 2.58-2.65

Properties
space group = Pmm2, No. 25
calculated volume = 20.88 Å³/atom
N(E_F) = 3.167 states/eV/cell

---

arrangement one (0.203 eV/atom below the next structure)